Record 1
ScTl3Sb: relaxed, GGA-PBE.

Structure (POSCAR):
```
ScTl3Sb
1.0
5.7253 0.0000 0.0000
0.0000 5.7253 0.0000
0.0000 0.0000 5.7253
Sc Sb Tl
1 1 3
Cartesian
2.8627 2.8627 2.8627
0.0000 0.0000 0.0000
0.0000 2.8627 0.0000
0.0000 0.0000 2.8627
2.8627 0.0000 0.0000
```

Results
**Formation energy (no corrections)**: 0.68 eV per atom
**Magnetization**: 0.0 μB per formula unit
**Energy above the most stable polymorph in this dataset**: 0.209 eV/atom
**VASP energy**: -0.1039 Ha/atom


Record 2
ScTl2Sb: relaxed, GGA-PBE.

Structure (POSCAR):
```
ScTl2Sb
1.0
-1.7255 1.5387 4.8398
-4.5943 -1.9578 1.9566
0.0882 -3.4548 4.1019
Sc Sb Tl
1 1 2
Cartesian
0.0000 0.0000 0.0000
-3.1158 -1.9370 5.4491
-1.5579 -0.9685 2.7246
-4.6737 -2.9055 8.1737
```

Results
**Formation energy (no corrections)**: 0.09 eV per atom
**Magnetization**: 0.0 μB per formula unit
**Energy above the most stable polymorph in this dataset**: 0.358 eV/atom
**VASP energy**: -0.1364 Ha/atom


Record 3
ScTlSb: relaxed, GGA-PBE.

Structure (POSCAR):
```
ScTlSb
1.0
-3.3530 -3.6097 1.3879
1.5620 -4.0199 2.7566
-1.4022 -0.4414 4.9028
Sb Sc Tl
1 1 1
Cartesian
-2.3949 -6.0532 6.7855
0.0000 0.0000 0.0000
-1.5966 -4.0355 4.5237
```

Results
**Formation energy (no corrections)**: -0.04 eV per atom
**Magnetization**: 0.0 μB per formula unit
**Energy above the most stable polymorph in this dataset**: 0.339 eV/atom
**VASP energy**: -0.1585 Ha/atom


Record 4
ScTlSb: relaxed, GGA-PBE.

Structure (POSCAR):
```
ScTlSb
1.0
-4.0206 2.7247 -0.5167
-2.7417 -4.0421 0.0190
-0.5964 0.4372 6.9469
Tl Sb Sc
2 2 2
Cartesian
-1.8570 -1.6647 5.6713
-2.1206 1.4432 1.0267
-1.5221 -1.9101 1.7715
-2.4554 1.6887 4.9265
-3.6794 -0.4401 3.2246
-0.2982 0.2186 3.4734
```

Results
**Formation energy (no corrections)**: -0.38 eV per atom
**Magnetization**: 0.0 μB per formula unit
**Energy above the most stable polymorph in this dataset**: 0.000 eV/atom
**VASP energy**: -0.1710 Ha/atom


Record 5
Sc4TlSb: relaxed, GGA-PBE.

Structure (POSCAR):
```
Sc4TlSb
1.0
0.0000 4.1765 4.1765
4.1765 0.0000 4.1765
4.1765 4.1765 0.0000
Sc Tl Sb
4 1 1
Cartesian
3.1316 5.2214 5.2214
5.2214 5.2214 3.1316
5.2214 3.1316 5.2214
3.1316 3.1316 3.1316
6.2647 6.2647 6.2647
0.0000 0.0000 0.0000
```

Results
**Formation energy (no corrections)**: 0.02 eV per atom
**Magnetization**: 0.0 μB per formula unit
**VASP energy**: -0.1943 Ha/atom


Record 6
Sc2Tl2Sb: relaxed, GGA-PBE.

Structure (POSCAR):
```
Sc2Tl2Sb
1.0
-2.7562 -0.8042 -6.9344
-1.4929 -7.2150 1.4301
-4.2024 1.1737 1.5342
Sc Sb Tl
4 2 4
Cartesian
-2.1946 -6.3405 -1.1609
-3.3015 -5.4321 -4.8879
-2.0545 -1.6786 -4.3434
-0.9475 -2.5870 -0.6164
0.0000 0.0000 0.0000
-2.1245 -4.0096 -2.7522
-3.4815 -4.2169 0.6611
-5.1607 -6.0739 -2.5178
-4.9700 -2.6286 -4.6312
-3.2909 -0.7716 -1.4523
```

Results
**Formation energy (no corrections)**: -0.33 eV per atom
**Magnetization**: 0.0 μB per formula unit
**Energy above the most stable polymorph in this dataset**: 0.000 eV/atom
**VASP energy**: -0.1704 Ha/atom


Record 7
ScTl2Sb: relaxed, GGA-PBE.

Structure (POSCAR):
```
ScTl2Sb
1.0
5.8451 -0.1131 0.0000
-2.3952 5.3330 0.0000
0.0000 0.0000 3.4330
Sb Sc Tl
1 1 2
Cartesian
2.9226 -0.0565 1.7165
-1.1976 2.6665 1.7165
0.0000 0.0000 0.0000
1.7250 2.6100 0.0000
```

Results
**Formation energy (no corrections)**: -0.07 eV per atom
**Magnetization**: 0.0 μB per formula unit
**Energy above the most stable polymorph in this dataset**: 0.205 eV/atom
**VASP energy**: -0.1420 Ha/atom


Record 8
ScTl2Sb: relaxed, GGA-PBE.

Structure (POSCAR):
```
ScTl2Sb
1.0
-2.8896 -1.4291 9.5986
0.5869 -1.1125 10.0471
-1.4334 1.7638 9.8671
Sb Sc Tl
1 1 2
Cartesian
-0.9340 -0.1945 7.3782
-2.8020 -0.5834 22.1346
-0.0075 -0.0016 0.0591
-1.8605 -0.3874 14.6973
```

Results
**Formation energy (no corrections)**: 0.06 eV per atom
**Magnetization**: 0.0 μB per formula unit
**Energy above the most stable polymorph in this dataset**: 0.333 eV/atom
**VASP energy**: -0.1373 Ha/atom


Record 9
ScTl2Sb: relaxed, GGA-PBE.

Structure (POSCAR):
```
ScTl2Sb
1.0
3.3316 0.0000 0.0000
0.0000 3.3316 0.0000
0.0000 0.0000 9.9426
Sb Sc Tl
1 1 2
Cartesian
0.0000 0.0000 5.4208
1.6658 1.6658 7.4482
0.0000 0.0000 9.6343
1.6658 1.6658 2.3532
```

Results
**Formation energy (no corrections)**: -0.19 eV per atom
**Magnetization**: 0.0 μB per formula unit
**Energy above the most stable polymorph in this dataset**: 0.082 eV/atom
**VASP energy**: -0.1465 Ha/atom


Record 10
Sc2Tl2Sb: relaxed, GGA-PBE.

Structure (POSCAR):
```
Sc2Tl2Sb
1.0
-6.7280 4.4794 1.4761
-3.5894 -3.1951 -6.6646
-1.4034 -2.7991 2.0978
Sc Sb Tl
4 2 4
Cartesian
-4.2981 -2.7729 -3.1895
-8.2032 -1.0148 -3.4561
-7.4227 1.2580 0.0987
-3.5176 -0.5000 0.3654
0.0000 0.0000 0.0000
-5.1587 0.6421 -2.5943
-5.6203 -1.1214 -5.2562
-8.1172 1.8902 -2.9081
-4.6971 2.4056 0.0676
-2.2002 -0.6059 -2.2804
```

Results
**Formation energy (no corrections)**: -0.12 eV per atom
**Magnetization**: 0.0 μB per formula unit
**Energy above the most stable polymorph in this dataset**: 0.209 eV/atom
**VASP energy**: -0.1627 Ha/atom


Record 11
Tm4ScSb5: relaxed, GGA-PBE.

Structure (POSCAR):
```
Tm4ScSb5
1.0
2.0748 0.7076 5.6882
3.0527 -6.1463 2.9176
7.1112 2.2092 0.3978
Tm Sc Sb
4 1 5
Cartesian
7.7155 -0.4006 3.7752
8.3762 -2.9969 7.1237
3.8668 -0.2311 1.8915
4.5274 -2.8274 5.2400
0.0024 0.0008 0.0065
8.7960 0.0043 6.5970
7.3889 -3.3985 4.2671
4.8539 0.1704 4.7478
3.4468 -3.2324 2.4178
1.0397 0.3546 2.8504
```

Results
**Formation energy (no corrections)**: -1.03 eV per atom
**Magnetization**: 0.0 μB per formula unit
**VASP energy**: -0.2028 Ha/atom


Record 12
TmSc4Sb5: relaxed, GGA-PBE.

Structure (POSCAR):
```
TmSc4Sb5
1.0
4.1207 0.0000 -0.7950
-0.3065 5.7234 -1.5887
0.0056 -0.0072 11.1061
Tm Sc Sb
1 4 5
Cartesian
0.0000 0.0000 0.0000
1.5294 2.2825 7.9276
3.0460 4.5614 4.7116
0.7738 1.1548 4.0107
2.2904 3.4337 0.7948
2.4600 0.5964 1.6739
3.2109 1.7171 5.5664
0.6089 3.9991 3.1560
-0.1533 2.8617 -0.7944
1.3598 5.1198 7.0484
```

Results
**Formation energy (no corrections)**: -0.96 eV per atom
**Magnetization**: 0.0 μB per formula unit
**VASP energy**: -0.2205 Ha/atom